Below is a relaxed Pm4SnPbO crystal, with properties calculated at the GGA-PBE level.

Formation energy (no corrections) (eV per atom): -1.23
M_tot (Bohr magnetons per cell): 1.38
V (Å³ per cell): 776.3

Cell lengths 6.627, 17.653, 6.636 Å; angles 90.00, 90.00, 90.00 degrees
Space group Cmcm (No. 63)
Symmetry-distinct sites (fractional):
Pm: 0.000 0.068 0.250
Pm: 0.000 0.419 0.250
Pm: 0.250 0.250 0.000
Sn: 0.000 0.113 0.750
Pb: 0.000 0.391 0.750
O: 0.000 0.279 0.250